A plane-wave DFT calculation with PBE-GGA was carried out for a geometry-optimized AcPaSi4 structure.

Cell: 5.464 5.464 5.464 Å, 60.00 60.00 60.00°
Positions (direct):
Ac 0.000 0.000 0.000
Pa 0.250 0.250 0.250
Si 0.135 0.622 0.622
Si 0.622 0.135 0.622
Si 0.622 0.622 0.135
Si 0.622 0.622 0.622

Formation energy (no corrections)   -0.94 eV per formula unit
Symmetry   No. 216
Uncorrected energy   -6.04 eV per atom